# PuVO2 PBE+U relaxed
data_PuVO2
_chemical_formula_sum 'Pu3 V3 O6'
_cell_length_a 3.344
_cell_length_b 3.344
_cell_length_c 18.563
_cell_angle_alpha 90.00
_cell_angle_beta 90.00
_cell_angle_gamma 120.00
_symmetry_space_group_name_H-M 'P 1'
_symmetry_Int_Tables_number 1
_symmetry_space_group_name_Hall 'P 1'
loop_
_atom_site_label
_atom_site_fract_x
_atom_site_fract_y
_atom_site_fract_z
Pu1 0.000 0.000 0.000
Pu2 0.333 0.667 0.667
Pu3 0.667 0.333 0.333
V1 0.000 0.000 0.500
V2 0.333 0.667 0.167
V3 0.667 0.333 0.833
O1 0.000 0.000 0.114
O2 0.000 0.000 0.886
O3 0.333 0.667 0.553
O4 0.333 0.667 0.780
O5 0.667 0.333 0.220
O6 0.667 0.333 0.447
# Uncorrected energy (eV per atom): -9.717
# Space group: No. 166